1.
A relaxed LiLaAs2 crystal. Source: the Alexandria database, functional GGA-PBE.

Structure (POSCAR):
```
LiLaAs2
1.0
-0.813 -1.216 4.431
-3.218 -2.343 -1.234
2.851 -3.664 -0.482
As La Li
2 1 1
direct
0.000 0.089 0.875
0.500 0.088 0.375
0.000 0.586 0.375
0.500 0.737 0.875
```

Output
- crystal system = tetragonal
- space group = P4mm
- energy above the most stable polymorph in this dataset (meV per atom) = 212
- DOS(E_F) (states/eV per cell) = 2.1
- DFT formation energy (eV per atom) = -0.83
- final energy (eV/atom) = -4.87


2.
A relaxed LiLaAs crystal. Source: the Alexandria database, functional GGA-PBE.

Structure (POSCAR):
```
LiLaAs
1.0
-1.110 2.423 3.686
-4.372 0.544 1.133
-1.674 -2.091 3.677
As La Li
1 1 1
direct
0.000 0.000 0.000
0.500 0.500 0.500
0.750 0.750 0.750
```

Output
- crystal system = cubic
- space group = F-43m
- energy above the most stable polymorph in this dataset (meV per atom) = 267
- DOS(E_F) (states/eV per cell) = 0.8
- DFT formation energy (eV per atom) = -0.79
- final energy (eV/atom) = -4.62


3.
A relaxed LiLaAs crystal. Source: the Alexandria database, functional GGA-PBE.

Structure (POSCAR):
```
LiLaAs
1.0
4.147 0.000 -1.081
-0.282 4.137 -1.081
-0.020 -0.022 8.414
Li La As
2 2 2
direct
0.500 0.000 0.000
0.000 0.500 0.000
0.668 0.668 0.337
0.332 0.332 0.663
0.129 0.129 0.258
0.871 0.871 0.742
```

Output
- crystal system = tetragonal
- space group = I4/mmm
- energy above the most stable polymorph in this dataset (meV per atom) = 56
- DOS(E_F) (states/eV per cell) = 3.7
- DFT formation energy (eV per atom) = -1.00
- final energy (eV/atom) = -4.83


4.
A relaxed LiLaAs crystal. Source: the Alexandria database, functional GGA-PBE.

Structure (POSCAR):
```
LiLaAs
1.0
-3.179 -3.391 2.141
0.175 -4.421 -2.570
3.671 2.976 1.963
As La Li
1 1 1
direct
0.982 0.982 0.000
0.338 0.338 0.000
0.680 0.680 0.000
```

Output
- crystal system = tetragonal
- space group = I4mm
- energy above the most stable polymorph in this dataset (meV per atom) = 394
- DOS(E_F) (states/eV per cell) = 2.5
- DFT formation energy (eV per atom) = -0.66
- final energy (eV/atom) = -4.49


5.
A relaxed Li2LaAs crystal. Source: the Alexandria database, functional GGA-PBE.

Structure (POSCAR):
```
Li2LaAs
1.0
-6.103 5.188 -6.176
-8.367 3.964 -4.074
-6.745 6.765 -3.323
As La Li
1 1 2
direct
0.250 0.250 0.250
0.750 0.750 0.750
0.978 0.978 0.978
0.522 0.522 0.522
```

Output
- crystal system = trigonal
- space group = R-3m
- DOS(E_F) (states/eV per cell) = 3.3
- DFT formation energy (eV per atom) = -0.05
- final energy (eV/atom) = -3.40


6.
A relaxed Li3LaAs crystal. Source: the Alexandria database, functional GGA-PBE.

Structure (POSCAR):
```
Li3LaAs
1.0
4.774 0.000 0.000
0.000 4.774 0.000
0.000 0.000 4.774
As Li La
1 3 1
direct
0.000 0.000 0.000
0.000 0.500 0.000
0.000 0.000 0.500
0.500 0.000 0.000
0.500 0.500 0.500
```

Output
- crystal system = cubic
- space group = Pm-3m
- energy above the most stable polymorph in this dataset (meV per atom) = 0
- DOS(E_F) (states/eV per cell) = 6.5
- DFT formation energy (eV per atom) = -0.22
- final energy (eV/atom) = -3.29


no.,V (Å³/f.u.),magnetization (Bohr magnetons per cell)
1,90.8,0.00
2,66.6,0.00
3,72.1,1.03
4,72.3,0.00
5,95.0,0.00
6,108.8,0.00